Density functional theory data (PBE-GGA) for a relaxed structure of Ir2SCl.

```
Ir2SCl
1.0
5.952 0.000 0.000
0.000 5.952 0.000
0.000 0.000 8.672
Ir S Cl
8 4 4
Cartesian
1.195 1.488 1.084 Ir
1.488 4.171 3.252 Ir
1.488 4.757 7.588 Ir
1.781 1.488 5.420 Ir
4.171 4.464 5.420 Ir
4.464 1.195 7.588 Ir
4.464 1.781 3.252 Ir
4.757 4.464 1.084 Ir
0.000 0.000 0.000 S
0.000 2.976 2.168 S
2.976 0.000 6.504 S
2.976 2.976 4.336 S
0.000 0.000 4.336 Cl
0.000 2.976 6.504 Cl
2.976 0.000 2.168 Cl
2.976 2.976 0.000 Cl
```

Computed properties:
The raw formation energy is 0.5225 eV/atom. The value obtained for the total energy is -86.424 eV/cell.



Density functional theory data (PBE-GGA) for a relaxed structure of CrReTc2.

```
CrReTc2
1.0
3.586 0.000 0.000
0.000 3.586 0.000
0.000 0.000 19.127
Cr Re Tc
4 4 8
Cartesian
0.000 0.000 0.000 Cr
0.000 1.793 4.782 Cr
1.793 0.000 14.345 Cr
1.793 1.793 9.564 Cr
0.000 0.000 9.564 Re
0.000 1.793 14.345 Re
1.793 0.000 4.782 Re
1.793 1.793 0.000 Re
0.817 0.897 2.391 Tc
0.897 2.610 7.173 Tc
0.897 2.769 16.736 Tc
0.976 0.897 11.954 Tc
2.610 2.690 11.954 Tc
2.690 0.817 16.736 Tc
2.690 0.976 7.173 Tc
2.769 2.690 2.391 Tc
```

Computed properties:
The value obtained for the total energy is -158.315 eV/cell. The energy of formation from the pure elements comes out at 0.81 eV per atom.